A plane-wave DFT calculation with PBE-GGA was carried out for an optimized crystal structure of Y2Tm7Sc2.

Electronic total energy in Ry per atom: -0.3715
DFT formation energy in eV/atom: 0.118

Cell: 8.306 6.394 6.394 Å, 91.90 81.72 81.72°
Fractional positions:
Y (0.500, 0.681, 0.319)
Tm (0.589, 0.160, 0.160)
Tm (0.803, 0.911, 0.541)
Tm (0.000, 0.000, 0.000)
Tm (0.197, 0.089, 0.459)
Y (0.500, 0.319, 0.681)
Tm (0.197, 0.459, 0.089)
Tm (0.803, 0.541, 0.911)
Sc (0.146, 0.604, 0.604)
Sc (0.854, 0.396, 0.396)
Tm (0.411, 0.840, 0.840)